Entry 1:
Here is crystalline Sm3ZnBi2 at its relaxed geometry from Alexandria. Energies are from PBE.

```
12
Lattice="6.338 0.000 0.000 0.000 9.063 0.002 -3.169 -2.267 6.621" Properties=species:S:1:pos:R:3 pbc="T T T"
Sm 3.176 2.266 0.001
Sm 3.162 6.797 0.002
Sm 0.001 0.000 2.181
Sm 3.169 2.265 4.442
Sm -0.001 4.531 2.182
Sm 3.168 6.796 4.443
Zn 6.329 6.797 0.002
Zn 0.009 2.266 0.001
Bi 3.168 4.531 2.245
Bi 3.169 0.000 2.244
Bi 0.000 6.796 4.379
Bi 0.000 2.265 4.378
```

Output
Energy   -4.4307 eV per atom
Crystal system   monoclinic
Formation energy   -0.565 eV/atom
D(E_F)   14.6 states/eV per cell


Entry 2:
Here is crystalline SmZnBi at its relaxed geometry from Alexandria. Energies are from PBE.

```
6
Lattice="5.699 0.000 0.000 2.849 3.111 -0.304 2.849 -0.136 10.270" Properties=species:S:1:pos:R:3 pbc="T T T"
Sm 5.699 0.566 2.961
Sm 5.699 2.409 7.005
Zn 8.548 2.624 5.484
Zn 2.849 0.351 4.482
Bi 2.849 0.459 1.635
Bi 8.548 2.516 8.331
```

Output
Energy   -3.6093 eV per atom
Crystal system   monoclinic
Formation energy   -0.318 eV/atom
D(E_F)   3.2 states/eV per cell